## Pu3Pa5C12 (PBE)

Data for a relaxed structure of Pu3Pa5C12.

Computed properties:
Fermi-level density of states in states/eV/f.u.: 28.798
DFT total energy in Ha/atom: -0.3450

a = 13.775 Å, b = 13.775 Å, c = 13.775 Å
α = 90.00°, β = 90.00°, γ = 90.00°
Space group Ia-3d (No. 230)
Asymmetric unit:
Pu  0.000  0.250  0.125
Pa  0.000  0.000  0.000
Pa  0.000  0.250  0.375
C  0.009  0.063  0.659